HoTl2Au after structural relaxation, computed with PBE.

Summary:
- Density of states at the Fermi level: 0.764 states/eV/atom
- Symmetry: R-3m, No. 166
- Relative energy among the computed polymorphs: 9.64 kcal/mol of atoms
- Density: 11.17 g cm⁻³
- Electronic total energy: -12.14 eV per cell

a = 3.514 Å, b = 3.514 Å, c = 10.902 Å
α = 80.73°, β = 80.73°, γ = 60.00°
Positions (direct):
Tl 0.098 0.098 0.707
Tl 0.902 0.902 0.293
Au 0.500 0.500 0.500
Ho 0.000 0.000 0.000

SrCoTc after structural relaxation, computed with PBE.

Summary:
- Density of states at the Fermi level: 1.124 states/eV/atom
- Symmetry: Imm2, No. 44
- Relative energy among the computed polymorphs: 6.03 kcal/mol of atoms
- Density: 6.90 g cm⁻³
- Electronic total energy: -17.55 eV per cell

a = 6.126 Å, b = 6.126 Å, c = 6.126 Å
α = 152.57°, β = 146.14°, γ = 44.11°
Positions (direct):
Co 0.047 0.047 0.000
Sr 0.336 0.336 0.000
Tc 0.617 0.617 0.000

Cs2In4Pd after structural relaxation, computed with PBE.

Summary:
- Density of states at the Fermi level: 0.716 states/eV/atom
- Symmetry: I4/mmm, No. 139
- Density: 4.81 g cm⁻³
- Electronic total energy: -18.48 eV per cell

a = 5.259 Å, b = 5.259 Å, c = 11.028 Å
α = 76.21°, β = 76.21°, γ = 90.00°
Positions (direct):
Cs 0.670 0.670 0.661
Cs 0.330 0.330 0.339
Pd 0.000 0.000 0.000
In 0.872 0.872 0.255
In 0.128 0.128 0.745
In 0.000 0.500 0.000
In 0.500 0.000 0.000